Record 1
! Cs4ZrO4 | Alexandria via LeMat-Bulk | PBE-GGA | optimized geometry; values from VASP
! SG ... No. 121
! Polymorph energy (0 for the lowest one) ... 117 meV/atom
! Formation energy from raw total energies ... -180.4 kJ/mol of atoms
! ρ ... 4.4 g/cm³
&SYSTEM
  ibrav = 0, nat = 9, ntyp = 3
/
ATOMIC_SPECIES
Cs 132.91 Cs.upf
Zr 91.22 Zr.upf
O 16.00 O.upf
ATOMIC_POSITIONS crystal
Cs 0.157 0.157 0.611
Cs 0.454 0.843 0.000
Cs 0.546 0.546 0.389
Cs 0.843 0.454 0.000
Zr 0.000 0.000 0.000
O 0.070 0.726 0.000
O 0.274 0.274 0.344
O 0.726 0.070 0.000
O 0.930 0.930 0.656
CELL_PARAMETERS angstrom
-3.338 3.338 5.782
3.338 -3.338 5.782
3.338 3.338 -5.782


Record 2
! Sc2CdCo | Alexandria via LeMat-Bulk | PBE-GGA | optimized geometry; values from VASP
! SG ... No. 44
! ρ ... 5.7 g/cm³
! Energy of formation from the pure elements ... -0.1379 eV per atom
&SYSTEM
  ibrav = 0, nat = 4, ntyp = 3
/
ATOMIC_SPECIES
Sc 44.96 Sc.upf
Cd 112.41 Cd.upf
Co 58.93 Co.upf
ATOMIC_POSITIONS crystal
Sc 0.000 0.000 0.000
Sc 0.697 0.197 0.500
Cd 0.289 0.789 0.500
Co 0.502 0.502 0.000
CELL_PARAMETERS angstrom
-1.579 2.357 5.157
1.579 -2.357 5.157
1.579 2.357 -5.157


Record 3
! AlAsAuBr2 | Alexandria via LeMat-Bulk | PBE-GGA | optimized geometry; values from VASP
! SG ... No. 123
! Polymorph energy (0 for the lowest one) ... 178 meV/atom
! Formation energy from raw total energies ... 38.2 kJ/mol of atoms
! ρ ... 5.0 g/cm³
&SYSTEM
  ibrav = 0, nat = 5, ntyp = 4
/
ATOMIC_SPECIES
Al 26.98 Al.upf
As 74.92 As.upf
Au 196.97 Au.upf
Br 79.90 Br.upf
ATOMIC_POSITIONS crystal
Al 0.000 0.000 0.000
As 0.500 0.500 0.000
Au 0.500 0.500 0.500
Br 0.000 0.500 0.500
Br 0.500 0.000 0.500
CELL_PARAMETERS angstrom
5.522 0.000 0.000
0.000 5.522 0.000
0.000 0.000 4.996


Record 4
! Tc2NiOs | Alexandria via LeMat-Bulk | PBE-GGA | optimized geometry; values from VASP
! SG ... No. 12
! Polymorph energy (0 for the lowest one) ... 157 meV/atom
! ρ ... 13.4 g/cm³
! Energy of formation from the pure elements ... 0.1048 eV per atom
&SYSTEM
  ibrav = 0, nat = 4, ntyp = 3
/
ATOMIC_SPECIES
Tc 98.00 Tc.upf
Ni 58.69 Ni.upf
Os 190.23 Os.upf
ATOMIC_POSITIONS crystal
Tc 0.248 0.248 0.249
Tc 0.752 0.752 0.751
Ni 0.000 0.000 0.500
Os 0.500 0.500 0.000
CELL_PARAMETERS angstrom
4.485 -1.353 0.000
4.485 1.353 0.000
-0.781 0.000 4.529


no.,DFT total energy (Ry/atom)
1,-0.39706
2,-0.39020
3,-0.19165
4,-0.68581